[1]
A relaxed structure of NaTi3Se. Source: Alexandria via LeMat-Bulk, functional PBE.

* distance to the lowest polymorph of the same formula: 1191 meV per atom
* E_form (uncorrected): 33.42 kcal/mol of atoms
* VASP energy: -4.2484 eV/atom

a b c (Å): 4.7400 4.7400 4.7400
angles (deg): 90.00 90.00 90.00
Fractional positions:
Na1 0.0000 0.0000 0.0000
Se1 0.5000 0.5000 0.5000
Ti1 0.0000 0.5000 0.0000
Ti2 0.0000 0.0000 0.5000
Ti3 0.5000 0.0000 0.0000


[2]
A relaxed structure of PmY2Ga. Source: Alexandria via LeMat-Bulk, functional PBE.

* distance to the lowest polymorph of the same formula: 90 meV per atom
* formation energy from the elements: -0.207 eV per atom
* VASP energy: -5.3835 eV/atom

a b c (Å): 3.6445 3.6445 10.4907
angles (deg): 80.00 80.00 60.00
Fractional positions:
Pm1 0.5004 0.5004 0.4987
Y1 0.0697 0.0697 0.7910
Y2 0.2636 0.2636 0.2091
Ga1 0.6663 0.6663 0.0012


[3]
A relaxed structure of Ca2NpMnN4. Source: Alexandria via LeMat-Bulk, functional PBE.

* E_form (uncorrected): -15.34 kcal/mol of atoms
* VASP energy: -8.0920 eV/atom

a b c (Å): 3.3338 5.7833 11.8695
angles (deg): 90.00 90.00 106.75
Fractional positions:
Ca1 0.3688 0.7376 0.5425
Ca2 0.6312 0.2624 0.0425
Ca3 0.6312 0.2624 0.4575
Ca4 0.3688 0.7376 0.9575
Np1 0.0994 0.1987 0.7500
Np2 0.9006 0.8013 0.2500
Mn1 0.8324 0.6649 0.7500
Mn2 0.1676 0.3351 0.2500
N1 0.2838 0.5676 0.1442
N2 0.7162 0.4324 0.6442
N3 0.7162 0.4324 0.8558
N4 0.2838 0.5676 0.3558
N5 0.0000 0.0000 0.5000
N6 0.0000 0.0000 0.0000
N7 0.4365 0.8729 0.7500
N8 0.5635 0.1271 0.2500